First-principles (GGA-PBE) data for an optimized crystal structure of PrPuCdSi, as listed in the Alexandria database.

abc: 5.2444 5.2444 5.2444
angles: 60.00 60.00 60.00
Sites, in units of the cell vectors:
Pr: 0.0000 0.0000 0.0000
Pu: 0.5000 0.5000 0.5000
Cd: 0.2500 0.2500 0.2500
Si: 0.7500 0.7500 0.7500

Properties
* space-group type: F-43m (216)
* D(E_F): 10.60 states/eV/cell
* raw total energy: -6.5609 eV/atom
* ρ: 8.6 g cm⁻³